[1]
A relaxed structure of Tb2TcI, computed with GGA-PBE.

Structure (POSCAR):
```
Tb2TcI
1.0
-0.697 0.760 -3.618
1.179 -2.363 -2.679
-7.439 -4.938 -1.560
Tc Tb I
1 2 1
Cartesian
0.000 0.000 0.000
-5.521 -5.082 -5.871
-1.435 -1.459 -1.986
-3.478 -3.270 -3.929
```

Calculated values
Total energy: -5.58 eV/atom
Fermi-level density of states: 0.594 states/eV per atom
Energy above the most stable polymorph in this dataset: 2.61 kcal/mol of atoms
ΔE_f (raw): -0.288 eV per atom
Density: 8358 kg/m³
Symmetry: R-3m, No. 166

[2]
A relaxed structure of AlIrW2, computed with GGA-PBE.

Structure (POSCAR):
```
AlIrW2
1.0
-1.440 -3.039 -1.587
1.945 -2.142 2.336
-7.037 -2.398 6.621
W Al Ir
4 2 2
Cartesian
-2.398 -2.728 0.976
-4.861 -6.304 5.591
-0.742 -2.357 2.896
-5.064 -3.769 5.276
0.252 -2.590 0.374
-2.420 -3.565 4.666
0.000 0.000 0.000
-4.113 -4.014 2.704
```

Calculated values
Total energy: -9.23 eV/atom
ΔE_f: 0.396 eV/atom
Fermi-level density of states: 0.366 states/eV per atom
Density: 14679 kg/m³
Symmetry: I-42d, No. 122

[3]
A relaxed structure of Tl4RhCl5, computed with GGA-PBE.

Structure (POSCAR):
```
Tl4RhCl5
1.0
6.290 0.000 0.000
3.145 6.860 0.000
3.145 0.000 6.860
Tl Cl Rh
4 5 1
Cartesian
6.297 2.638 5.337
9.442 5.337 4.221
3.152 1.523 2.638
6.297 4.221 1.523
6.296 0.896 2.282
9.440 2.282 5.963
3.151 4.578 0.896
6.296 5.963 4.578
3.148 0.000 0.000
0.007 0.000 0.000
```

Calculated values
Total energy: -3.28 eV/atom
Fermi-level density of states: 0.350 states/eV per atom
ΔE_f (raw): -0.671 eV per atom
Density: 6159 kg/m³
Symmetry: I4/m, No. 87

[4]
A relaxed structure of PrDy6Ho2Sc, computed with GGA-PBE.

Structure (POSCAR):
```
PrDy6Ho2Sc
1.0
8.932 -1.881 -1.952
0.864 8.461 -1.926
0.864 -2.238 8.383
Ho Dy Sc Pr
4 12 2 2
Cartesian
0.898 2.055 1.024
5.364 0.006 1.116
9.761 2.286 3.482
5.295 4.335 3.390
2.165 4.363 -1.428
9.400 5.079 -1.481
4.934 -0.727 5.996
1.259 -0.737 5.986
6.509 1.380 3.801
4.150 2.961 0.704
4.028 6.871 1.174
8.616 -0.346 2.009
8.494 -0.022 5.934
6.631 -2.530 3.331
5.725 5.069 -1.491
2.043 4.688 2.496
3.097 1.735 3.614
7.563 2.606 0.892
7.563 -3.363 6.643
3.097 7.704 -2.138
```

Calculated values
Total energy: -4.66 eV/atom
ΔE_f: 0.129 eV/atom
Fermi-level density of states: 1.410 states/eV per atom
Density: 7861 kg/m³
Symmetry: C2/c, No. 15

[5]
A relaxed structure of SiNi2Pb, computed with GGA-PBE.

Structure (POSCAR):
```
SiNi2Pb
1.0
4.336 0.000 0.000
0.000 4.328 0.000
0.000 0.000 3.237
Ni Si Pb
2 1 1
Cartesian
0.000 0.000 0.000
2.168 2.164 0.000
0.000 2.164 1.619
2.168 0.000 1.619
```

Calculated values
Total energy: -4.90 eV/atom
Fermi-level density of states: 0.580 states/eV per atom
Energy above the most stable polymorph in this dataset: 9.41 kcal/mol of atoms
ΔE_f (raw): 0.278 eV per atom
Density: 9639 kg/m³
Symmetry: P4/mmm, No. 123

[6]
A relaxed structure of TbTm2Tc, computed with GGA-PBE.

Structure (POSCAR):
```
TbTm2Tc
1.0
-5.759 2.011 1.040
-2.383 -7.047 0.427
1.600 -0.004 8.865
Tb Tc Tm
4 4 8
Cartesian
-1.807 -6.512 7.189
-4.488 -2.553 3.097
-4.735 1.473 3.143
-2.055 -2.487 7.235
-5.762 -2.433 7.904
-0.780 -2.606 2.428
-4.317 -5.311 3.065
-2.226 0.271 7.267
-1.713 -0.543 4.306
-4.233 -4.498 9.336
-2.310 -0.541 0.996
-1.798 -4.452 4.320
-4.830 -4.497 6.026
-2.395 -4.451 1.010
-4.744 -0.587 6.012
-4.147 -0.588 9.322
```

Calculated values
Total energy: -6.12 eV/atom
ΔE_f: -0.132 eV/atom
Fermi-level density of states: 0.801 states/eV per atom
Energy above the most stable polymorph in this dataset: 0.00 kcal/mol of atoms
Density: 9513 kg/m³
Symmetry: Pnma, No. 62

The highest density belongs to which entry?
AlIrW2

What is the Fermi-level density of states in the third record?
0.350 states/eV per atom

The highest Fermi-level density of states belongs to which entry?
PrDy6Ho2Sc